The following is a PBE calculation of BeZn2Cd after structural relaxation, from Alexandria via LeMat-Bulk.

Cell: 4.803 4.803 4.803 Å, 131.41 131.41 71.16°
Fractional coordinates of all 4 atoms:
Be (0.000, 0.000, 0.000)
Zn (0.500, 0.500, 0.000)
Zn (0.750, 0.250, 0.500)
Cd (0.250, 0.750, 0.500)

## Properties
energy above the lowest structure with this stoichiometry = 141 meV/atom

---

The following is a PBE calculation of Ho3Cd2Ni2 after structural relaxation, from Alexandria via LeMat-Bulk.

Cell: 11.021 11.021 3.671 Å, 90.00 90.00 159.87°
Fractional coordinates of all 7 atoms:
Ho (0.000, 0.000, 0.000)
Ho (0.176, 0.824, 0.000)
Ho (0.824, 0.176, 0.000)
Cd (0.414, 0.586, 0.500)
Cd (0.586, 0.414, 0.500)
Ni (0.282, 0.718, 0.500)
Ni (0.718, 0.282, 0.500)

---

The following is a PBE calculation of PmNpAgGe after structural relaxation, from Alexandria via LeMat-Bulk.

Cell: 5.162 5.162 5.162 Å, 60.00 60.00 60.00°
Fractional coordinates of all 4 atoms:
Pm (0.000, 0.000, 0.000)
Np (0.500, 0.500, 0.500)
Ag (0.250, 0.250, 0.250)
Ge (0.750, 0.750, 0.750)

---

The following is a PBE calculation of Tm6Mg3Fe after structural relaxation, from Alexandria via LeMat-Bulk.

Cell: 9.340 10.867 5.133 Å, 90.00 90.00 90.00°
Fractional coordinates of all 20 atoms:
Tm (0.031, 0.227, 0.000)
Tm (0.153, 0.066, 0.500)
Tm (0.207, 0.405, 0.500)
Tm (0.293, 0.905, 0.000)
Tm (0.347, 0.566, 0.000)
Tm (0.469, 0.727, 0.500)
Tm (0.531, 0.273, 0.500)
Tm (0.653, 0.434, 0.000)
Tm (0.707, 0.095, 0.000)
Tm (0.793, 0.595, 0.500)
Tm (0.847, 0.934, 0.500)
Tm (0.969, 0.773, 0.000)
Mg (0.000, 0.500, 0.000)
Mg (0.141, 0.715, 0.500)
Mg (0.359, 0.215, 0.000)
Mg (0.500, 0.000, 0.500)
Mg (0.641, 0.785, 0.000)
Mg (0.859, 0.285, 0.500)
Fe (0.000, 0.000, 0.000)
Fe (0.500, 0.500, 0.500)

## Properties
energy above the lowest structure with this stoichiometry = 43 meV/atom

---

no.,DFT total energy (eV for the cell shown),energy relative to the elements (eV per formula unit)
1,-6.02,1.2
2,-30.05,-2.9
3,-25.64,-0.5
4,-79.28,0.4